CeTaMoO6 after structural relaxation. Source: Alexandria, functional PBE with a Hubbard U.

## Properties
**Size of the total moment**: 3.00 μB per formula unit
**ρ**: 7.0 g cm⁻³
**Total energy**: -8.769 eV per atom

Cell: 4.950 4.950 9.969 Å, 90.00 90.00 90.00°
Space group P4_2nm (No. 102)
One atom of each set of equivalent atoms:
1 Ce 0.000 0.000 0.000 x2
2 Ta 0.000 0.000 0.334 x2
3 Mo 0.000 0.000 0.671 x2
4 O 0.181 0.181 0.494 x4
5 O 0.193 0.193 0.190 x4
6 O 0.211 0.211 0.829 x4